# CoTeN2F, optimized geometry, DFT PBE with a Hubbard U
data_CoTeN2F
_chemical_formula_sum 'Co1 Te1 N2 F1'
_symmetry_space_group_name_H-M 'P 4/m m m'
_symmetry_Int_Tables_number 123
_symmetry_space_group_name_Hall '-P 4 2'
_cell_length_a 3.5978
_cell_length_b 3.5978
_cell_length_c 5.2969
_cell_angle_alpha 90.00
_cell_angle_beta 90.00
_cell_angle_gamma 90.00
loop_
_atom_site_label
_atom_site_type_symbol
_atom_site_fract_x
_atom_site_fract_y
_atom_site_fract_z
Co1 Co 0.0000 0.0000 0.0000
Te1 Te 0.0000 0.0000 0.5000
N1 N 0.0000 0.5000 0.0000
F1 F 0.5000 0.5000 0.5000
# **Energy relative to the lowest polymorph listed for this composition**: 0.1910 eV per atom
# **Crystal system**: tetragonal